A plane-wave DFT calculation with GGA-PBE was carried out for a relaxed structure of Nd3ScCd2.

a b c (Å): 3.787 3.787 12.212
angles (deg): 90.00 90.00 90.00
Sites, in units of the cell vectors:
Nd1 0.000 0.000 0.000
Nd2 0.000 0.000 0.674
Nd3 0.000 0.000 0.326
Sc1 0.500 0.500 0.500
Cd1 0.500 0.500 0.834
Cd2 0.500 0.500 0.166

Results
- E above lowest polymorph: 0.26 kJ per mole of atoms
- ΔH_f (0 K): -0.173 eV/atom
- Spin magnetization: 0.88 μB per formula unit

---

A plane-wave DFT calculation with GGA-PBE was carried out for a relaxed structure of Pm2CoPb.

a b c (Å): 3.809 3.809 10.014
angles (deg): 79.04 79.04 60.00
Sites, in units of the cell vectors:
Pb1 0.000 0.000 0.000
Co1 0.500 0.500 0.500
Pm1 0.113 0.113 0.661
Pm2 0.887 0.887 0.339

Results
- ΔH_f (0 K): 0.019 eV/atom
- Spin magnetization: 0.00 μB per formula unit

---

A plane-wave DFT calculation with GGA-PBE was carried out for a relaxed structure of FeCo2As.

a b c (Å): 3.577 3.577 8.583
angles (deg): 77.97 77.97 90.00
Sites, in units of the cell vectors:
As1 0.000 0.000 0.000
As2 0.750 0.250 0.500
Co1 0.635 0.125 0.250
Co2 0.115 0.625 0.250
Co3 0.375 0.365 0.750
Co4 0.875 0.885 0.750
Fe1 0.500 0.500 0.000
Fe2 0.250 0.750 0.500

Results
- ΔH_f (0 K): 0.297 eV/atom
- Spin magnetization: 4.94 μB per formula unit

---

| no. | final energy (eV per atom) |
| --- | --- |
| 1 | -3.917 |
| 2 | -5.060 |
| 3 | -6.534 |